HfH | PBE-GGA | relaxed

Results
Total energy: -6.539 eV/atom
Volume: 111 Å³/cell
Crystal system: cubic
Total magnetic moment: 0.0 μB/f.u.
Symmetry: I-43m (217)

```
8
Lattice="-3.0257 3.0257 3.0257 3.0257 -3.0257 3.0257 3.0257 3.0257 -3.0257" Properties=species:S:1:pos:R:3 pbc="T T T"
Hf 1.1667 1.1667 -1.1667
Hf 1.1667 -1.1667 1.1667
Hf -1.1667 1.1667 1.1667
Hf 1.8590 1.8590 1.8590
H 2.2801 2.2801 -2.2801
H 2.2801 -2.2801 2.2801
H 0.7455 0.7455 0.7455
H -2.2801 2.2801 2.2801
```